[1]
5
Lattice="-0.211 -1.832 4.929 -2.420 -4.346 -1.719 4.669 -2.336 -0.668" Properties=species:S:1:pos:R:3 comment="TiVPb3, optimized geometry, DFT GGA-PBE" formation_energy_ev_per_atom=0.79 de_polymorph_mev_per_atom=0 crystal_system=cubic spacegroup=Pm-3m pbc="T T T"
Pb 2.335 -1.168 -0.334
V 0.000 0.000 0.000
Pb -1.210 -2.173 -0.860
Pb -0.106 -0.916 2.465
Ti 1.019 -4.257 1.271


[2]
5
Lattice="5.382 0.000 0.000 0.000 4.864 0.000 0.000 0.000 5.382" Properties=species:S:1:pos:R:3 comment="BeHg2PtCl, optimized geometry, DFT GGA-PBE" formation_energy_uncorrected_kcal_per_mol_atoms=13.21 crystal_system=tetragonal spacegroup=P4/mmm pbc="T T T"
Hg 2.691 0.000 0.000
Be 2.691 2.432 2.691
Cl 0.000 2.432 0.000
Pt 0.000 0.000 0.000
Hg 0.000 0.000 2.691


[3]
6
Lattice="0.000 4.088 4.088 4.088 0.000 4.088 4.088 4.088 0.000" Properties=species:S:1:pos:R:3 comment="In2Fe, optimized geometry, DFT GGA-PBE" formation_energy_ev_per_atom=0.88 crystal_system=cubic spacegroup=Fd-3m pbc="T T T"
Fe 6.132 6.132 6.132
In 3.066 3.066 1.022
In 1.022 3.066 3.066
Fe 4.088 4.088 4.088
In 1.022 1.022 1.022
In 3.066 1.022 3.066


[4]
7
Lattice="4.453 0.000 0.000 -2.227 5.344 0.113 0.000 -2.705 6.162" Properties=species:S:1:pos:R:3 comment="Sm2Ga3Au2, optimized geometry, DFT GGA-PBE" formation_energy_ev_per_atom=-0.67 de_polymorph_mev_per_atom=7 crystal_system=monoclinic spacegroup=C2/m pbc="T T T"
Ga 2.227 0.000 0.000
Au 0.000 0.974 1.583
Ga 2.227 -0.140 2.652
Sm 0.000 -0.508 4.819
Au 2.227 1.665 4.692
Ga 0.000 2.779 3.622
Sm 2.227 3.148 1.456


[5]
4
Lattice="-0.074 1.820 -3.911 2.120 0.355 -3.740 -2.291 -3.720 -2.492" Properties=species:S:1:pos:R:3 comment="CrCdCo2, optimized geometry, DFT GGA-PBE" formation_energy_ev_per_atom=0.41 crystal_system=monoclinic spacegroup=C2/m pbc="T T T"
Co -2.145 -3.495 -2.435
Cd -0.061 -0.386 -2.536
Cr -0.184 -1.158 -7.607
Co -0.268 -0.997 -5.128


[6]
4
Lattice="3.295 0.000 0.000 1.648 2.854 0.000 1.648 0.951 8.470" Properties=species:S:1:pos:R:3 comment="Hf2BeTl, optimized geometry, DFT GGA-PBE" formation_energy_ev_per_atom=0.13 de_polymorph_mev_per_atom=0 crystal_system=trigonal spacegroup=R-3m pbc="T T T"
Tl 3.295 1.902 4.235
Hf 1.648 0.951 1.696
Be 0.000 0.000 0.000
Hf 4.943 2.854 6.774


The E_tot results, record by record, are as follows: -24.2, -9.4, -22.6, -29.7, -23.1, -25.5 eV/cell.
The M_tot results, record by record, are as follows: 3.14, 0.00, 6.24, 0.00, 2.22, 0.00 Bohr magnetons per cell.